Computed, not measured: crystalline NiPN2O at its relaxed geometry at the GGA+U level of DFT.

Unit cell a=3.7246 b=3.7246 c=3.7307 alpha=90.00 beta=90.00 gamma=90.00
With the nearest neighbours (Å) after each atom.
Space group P4/mmm (No. 123)
Inequivalent atoms, fractional coordinates:
Ni: 0.0000 0.0000 0.0000 (multiplicity 1)  4 N 1.86, 2 O 1.87
P: 0.5000 0.5000 0.5000 (multiplicity 1)  4 O 2.63, 8 N 2.64
N: 0.0000 0.5000 0.0000 (multiplicity 2)  2 Ni 1.86
O: 0.0000 0.0000 0.5000 (multiplicity 1)  2 Ni 1.87

Output
Magnetic moment ... 2.40 Bohr magnetons per cell
Calculated volume ... 52 Å³/f.u.
Calculated total energy ... -4.389 eV/atom